CaReSe2 | PBE | optimized geometry

D(E_F): 0.734 states/eV per atom
Formation energy without anion corrections: -122 kJ/mol of formula units

a b c (Å): 3.3144 3.7961 12.8713
angles (deg): 90.00 90.00 90.00
Last column: nearest neighbours and their distance in Å.
Space group Imm2 (No. 44)
Inequivalent atoms, fractional coordinates:
1 Ca 0.0000 0.0000 0.0000 [2 per cell]  6 Se 2.89
2 Re 0.0000 0.5000 0.7408 [2 per cell]  6 Se 2.54-2.68
3 Se 0.0000 0.0000 0.3902 [2 per cell]  2 Re 2.54
4 Se 0.0000 0.5000 0.1695 [2 per cell]  4 Re 2.68, 2 Ca 2.89